The following is a PBE calculation of ScPH after structural relaxation, from Alexandria via LeMat-Bulk.

Size of the total moment ... 0.0 μB per formula unit
SG ... R3m
Excess energy over the best structure of this formula in the dataset ... 0.1 meV per atom

The structure in extended XYZ format:
```
18
Lattice="-2.270 -1.244 2.720 3.721 -0.021 0.503 -0.914 18.094 7.514" Properties=species:S:1:pos:R:3 pbc="T T T"
H -1.149 16.508 9.184
P -0.212 4.193 1.741
H 1.418 5.626 3.757
H -0.571 11.313 4.698
Sc -0.567 4.986 4.399
Sc -0.747 14.780 6.138
Sc 1.125 11.425 6.165
P -0.372 7.356 3.055
Sc 1.282 8.320 4.875
Sc -0.410 1.880 3.110
P 1.657 0.896 1.793
P -0.949 12.551 7.541
H 1.457 4.853 3.436
H -0.274 -0.813 1.991
P 0.903 15.827 7.993
P -0.789 9.388 6.227
H -0.611 12.086 5.019
Sc -0.904 17.885 7.427
```